(1)
A geometry-optimized Al2OsRh structure. Source: Alexandria, functional PBE-GGA.

It has space group F-43m (No. 216), with a = 6.1386 Å, b = 6.1386 Å, c = 6.1386 Å, α = 90.00°, β = 90.00° and γ = 90.00°. The distinct sites, in fractional coordinates, are Al at (0.0000, 0.0000, 0.0000), Al at (0.2500, 0.2500, 0.2500), Os at (0.2500, 0.2500, 0.7500) and Rh at (0.0000, 0.0000, 0.5000).

The value obtained for the density of states at the Fermi level is 3.70 states/eV/f.u.

---

(2)
A geometry-optimized AlOs2Rh structure. Source: Alexandria, functional PBE-GGA.

It has space group P4mm (No. 99), with a = 2.8030 Å, b = 2.8030 Å, c = 7.1640 Å, α = 90.00°, β = 90.00° and γ = 90.00°. The distinct sites, in fractional coordinates, are Al at (0.0000, 0.0000, 0.0000), Os at (0.0000, 0.0000, 0.4969), Os at (0.5000, 0.5000, 0.2519) and Rh at (0.5000, 0.5000, 0.7717).

The value obtained for the density of states at the Fermi level is 2.21 states/eV/f.u.

---

(3)
A geometry-optimized AlOs4Rh structure. Source: Alexandria, functional PBE-GGA.

It has space group F-43m (No. 216), with a = 7.2367 Å, b = 7.2367 Å, c = 7.2367 Å, α = 90.00°, β = 90.00° and γ = 90.00°. The distinct sites, in fractional coordinates, are Al at (0.0000, 0.0000, 0.0000), Os at (0.1244, 0.1244, 0.6244) and Rh at (0.2500, 0.2500, 0.2500).

The value obtained for the density of states at the Fermi level is 8.83 states/eV/f.u.

---

(4)
A geometry-optimized Al2OsRh structure. Source: Alexandria, functional PBE-GGA.

It has space group I-4m2 (No. 119), with a = 3.6456 Å, b = 3.6456 Å, c = 8.5188 Å, α = 90.00°, β = 90.00° and γ = 90.00°. The distinct sites, in fractional coordinates, are Al at (0.0000, 0.0000, 0.0000), Al at (0.0000, 0.5000, 0.2500), Os at (0.0000, 0.5000, 0.7500) and Rh at (0.0000, 0.0000, 0.5000).

The value obtained for the density of states at the Fermi level is 2.73 states/eV/f.u.

---

(5)
A geometry-optimized AlOs2Rh structure. Source: Alexandria, functional PBE-GGA.

It has space group Imm2 (No. 44), with a = 2.9286 Å, b = 4.4051 Å, c = 8.7124 Å, α = 90.00°, β = 90.00° and γ = 90.00°. The distinct sites, in fractional coordinates, are Al at (0.0000, 0.0000, 0.0000), Os at (0.0000, 0.0000, 0.4959), Os at (0.0000, 0.5000, 0.7366) and Rh at (0.0000, 0.5000, 0.2739).

The value obtained for the density of states at the Fermi level is 3.16 states/eV/f.u.

---

(6)
A geometry-optimized AlOsRh structure. Source: Alexandria, functional PBE-GGA.

It has space group F-43m (No. 216), with a = 5.8568 Å, b = 5.8568 Å, c = 5.8568 Å, α = 90.00°, β = 90.00° and γ = 90.00°. The distinct sites, in fractional coordinates, are Al at (0.0000, 0.0000, 0.0000), Os at (0.0000, 0.0000, 0.5000) and Rh at (0.2500, 0.2500, 0.7500).

The value obtained for the density of states at the Fermi level is 2.84 states/eV/f.u. The value obtained for the energy relative to the lowest polymorph listed for this composition is 457 meV/atom.

---

(7)
A geometry-optimized Al3OsRh2 structure. Source: Alexandria, functional PBE-GGA.

It has space group P4/mmm (No. 123), with a = 3.0136 Å, b = 3.0136 Å, c = 8.9945 Å, α = 90.00°, β = 90.00° and γ = 90.00°. The distinct sites, in fractional coordinates, are Al at (0.0000, 0.0000, 0.0000), Al at (0.0000, 0.0000, 0.3381), Os at (0.5000, 0.5000, 0.5000) and Rh at (0.5000, 0.5000, 0.1645).

The value obtained for the density of states at the Fermi level is 1.05 states/eV/f.u.

---

(8)
A geometry-optimized Al2OsRh structure. Source: Alexandria, functional PBE-GGA.

It has space group Imm2 (No. 44), with a = 2.9702 Å, b = 4.1577 Å, c = 9.1138 Å, α = 90.00°, β = 90.00° and γ = 90.00°. The distinct sites, in fractional coordinates, are Al at (0.0000, 0.0000, 0.0000), Al at (0.0000, 0.5000, 0.2344), Os at (0.0000, 0.5000, 0.7437) and Rh at (0.0000, 0.0000, 0.4981).

The value obtained for the density of states at the Fermi level is 2.59 states/eV/f.u.

---

Number 1: DFT formation energy -0.145 eV per atom. Number 2: DFT formation energy -0.269 eV per atom. Number 3: DFT formation energy 0.618 eV per atom. Number 4: DFT formation energy -0.389 eV per atom. Number 5: DFT formation energy -0.080 eV per atom. Number 6: DFT formation energy 0.148 eV per atom. Number 7: DFT formation energy -0.885 eV per atom. Number 8: DFT formation energy -0.485 eV per atom.